Compound: RbInAg2
Source: Alexandria
Functional: GGA-PBE
Structure: optimized geometry

Its volume is 594.34 Å³/cell. Its density of states at the Fermi level is 11.00 states/eV per cell. As for the energy relative to the elements: 0.10 eV per atom. Its crystal system is tetragonal.

The structure belongs to space group I4_1/amd (No. 141, origin choice 2); the cell edges are 5.5816, 5.5816 and 19.0776 Å and the angles 90.00°, 90.00° and 90.00°. The inequivalent atoms are Rb at (0.0000, 0.2500, 0.3750), In at (0.0000, 0.2500, 0.8750) and Ag at (0.0000, 0.0000, 0.0000).


Compound: Rb3In5Ag2
Source: Alexandria
Functional: GGA-PBE
Structure: optimized geometry

Its volume is 1345.57 Å³/cell. Its density of states at the Fermi level is 13.99 states/eV per cell. As for the energy relative to the elements: -0.05 eV per atom. Its crystal system is orthorhombic.

The structure belongs to space group Ibam (No. 72); the cell edges are 12.4064, 14.8451 and 7.3060 Å and the angles 90.00°, 90.00° and 90.00°. The inequivalent atoms are Rb at (0.0000, 0.0000, 0.2500), Rb at (0.2453, 0.3730, 0.0000), In at (0.0000, 0.2596, 0.2500), In at (0.0000, 0.5000, 0.2500), In at (0.1403, 0.3820, 0.5000) and Ag at (0.1401, 0.1625, 0.0000).


- Among the records above, which one has the lowest energy relative to the elements?
  Rb3In5Ag2